[1]
KPPt2 | PBE | optimized geometry

Summary:
Total DFT energy (no corrections) in eV per atom: -5.0470
Magnetic moment in μB/f.u.: 0.0

The structure in CIF format:
```
data_KPPt2
_chemical_formula_sum 'K1 P1 Pt2'
_cell_length_a 5.226
_cell_length_b 5.226
_cell_length_c 6.157
_cell_angle_alpha 109.21
_cell_angle_beta 109.21
_cell_angle_gamma 38.05
_space_group_name_H-M_alt 'P 1'
_space_group_IT_number 1
loop_
_space_group_symop_operation_xyz
'x,y,z'
loop_
_atom_site_label
_atom_site_type_symbol
_atom_site_fract_x
_atom_site_fract_y
_atom_site_fract_z
K1 K 0.000 0.000 0.000
P1 P 0.823 0.823 0.401
Pt1 Pt 0.219 0.219 0.545
Pt2 Pt 0.494 0.494 0.518
```

[2]
K2PPt2 | PBE | optimized geometry

Summary:
Total DFT energy (no corrections) in eV per atom: -4.3507
Magnetic moment in μB/f.u.: 0.0
Polymorph energy (0 for the lowest one) in meV per atom: 0

The structure in CIF format:
```
data_K2PPt2
_chemical_formula_sum 'K4 P2 Pt4'
_cell_length_a 5.764
_cell_length_b 5.764
_cell_length_c 7.579
_cell_angle_alpha 95.41
_cell_angle_beta 95.41
_cell_angle_gamma 72.52
_space_group_name_H-M_alt 'P 1'
_space_group_IT_number 1
loop_
_space_group_symop_operation_xyz
'x,y,z'
loop_
_atom_site_label
_atom_site_type_symbol
_atom_site_fract_x
_atom_site_fract_y
_atom_site_fract_z
K1 K 0.033 0.258 0.136
K2 K 0.258 0.033 0.636
K3 K 0.742 0.967 0.364
K4 K 0.967 0.742 0.864
P1 P 0.464 0.536 0.250
P2 P 0.536 0.464 0.750
Pt1 Pt 0.249 0.512 0.494
Pt2 Pt 0.488 0.751 0.006
Pt3 Pt 0.512 0.249 0.994
Pt4 Pt 0.751 0.488 0.506
```

[3]
K2P2Pt | PBE | optimized geometry

Summary:
Total DFT energy (no corrections) in eV per atom: -4.3046
Magnetic moment in μB/f.u.: 0.0

The structure in CIF format:
```
data_K2P2Pt
_chemical_formula_sum 'K2 P2 Pt1'
_cell_length_a 4.093
_cell_length_b 6.279
_cell_length_c 6.286
_cell_angle_alpha 60.50
_cell_angle_beta 71.27
_cell_angle_gamma 71.42
_space_group_name_H-M_alt 'P 1'
_space_group_IT_number 1
loop_
_space_group_symop_operation_xyz
'x,y,z'
loop_
_atom_site_label
_atom_site_type_symbol
_atom_site_fract_x
_atom_site_fract_y
_atom_site_fract_z
K1 K 0.184 0.314 0.313
K2 K 0.816 0.686 0.687
P1 P 0.499 0.810 0.190
P2 P 0.501 0.190 0.810
Pt1 Pt 0.000 0.000 0.000
```

no.,ΔH_f (0 K) (meV per atom)
1,-400
2,-413
3,-494